Density functional theory data (GGA-PBE) for crystalline Na2CaSnSb2 at its relaxed geometry.

Unit cell a=5.282 b=9.028 c=7.692 alpha=90.00 beta=90.00 gamma=90.00
Space group Pmc2_1 (No. 26)
Unique sites:
Na 0.000 0.070 0.000 (multiplicity 2)
Na 0.500 0.154 0.320 (multiplicity 2)
Ca 0.500 0.471 0.990 (multiplicity 2)
Sn 0.000 0.310 0.643 (multiplicity 2)
Sb 0.000 0.359 0.249 (multiplicity 2)
Sb 0.500 0.184 0.741 (multiplicity 2)

Summary:
Its density of states at the Fermi level is 1.5 states/eV/f.u. The raw total energy is -3.27 eV per atom.